Entry 1:
Entry from the Alexandria database: a relaxed structure of BaScNbCd2 (PBE).

## Properties
- DOS(E_F): 6.8 states/eV per cell
- M_tot: 0.95 μB per cell
- Formation energy from the elements: 0.95 eV/atom

a b c (Å): 5.489 5.489 5.523
angles (deg): 90.00 90.00 90.00
Sites, in units of the cell vectors:
Ba 0.000 0.000 0.000
Sc 0.500 0.500 0.000
Nb 0.000 0.000 0.500
Cd 0.000 0.500 0.500
Cd 0.500 0.000 0.500

Entry 2:
Entry from the Alexandria database: a relaxed structure of Ba2NbCdTe (PBE).

## Properties
- Energy relative to the elements, uncorrected: 0.1599 eV per atom
- DOS(E_F): 5.8 states/eV per cell
- M_tot: 2.71 μB per cell

a b c (Å): 6.627 6.627 5.250
angles (deg): 90.00 90.00 90.00
Sites, in units of the cell vectors:
Ba 0.000 0.500 0.000
Ba 0.500 0.000 0.000
Nb 0.000 0.000 0.500
Cd 0.500 0.500 0.500
Te 0.000 0.000 0.000

Entry 3:
Entry from the Alexandria database: a relaxed structure of BaTiNb2Cd (PBE).

## Properties
- DOS(E_F): 13.3 states/eV per cell
- M_tot: 1.04 μB per cell
- Formation energy from the elements: 1.92 eV/atom

a b c (Å): 5.177 5.177 5.851
angles (deg): 90.00 90.00 90.00
Sites, in units of the cell vectors:
Ba 0.000 0.000 0.000
Ti 0.500 0.500 0.000
Nb 0.000 0.500 0.500
Nb 0.500 0.000 0.500
Cd 0.000 0.000 0.500

Entry 4:
Entry from the Alexandria database: a relaxed structure of BaNbCd2W (PBE).

## Properties
- DOS(E_F): 5.4 states/eV per cell
- M_tot: 2.78 μB per cell
- Formation energy from the elements: 1.71 eV/atom

a b c (Å): 5.376 5.376 5.581
angles (deg): 90.00 90.00 90.00
Sites, in units of the cell vectors:
Ba 0.000 0.000 0.000
Nb 0.500 0.500 0.000
Cd 0.000 0.500 0.500
Cd 0.500 0.000 0.500
W 0.000 0.000 0.500

Entry 5:
Entry from the Alexandria database: a relaxed structure of Ba4NdCd5 (PBE).

## Properties
- DOS(E_F): 5.9 states/eV per cell
- M_tot: 0.14 μB per cell
- Formation energy from the elements: -0.31 eV/atom

a b c (Å): 4.134 4.134 21.199
angles (deg): 90.00 90.00 90.00
Sites, in units of the cell vectors:
Ba 0.000 0.000 0.104
Ba 0.000 0.000 0.312
Ba 0.000 0.000 0.688
Ba 0.000 0.000 0.896
Nd 0.000 0.000 0.500
Cd 0.500 0.500 0.000
Cd 0.500 0.500 0.207
Cd 0.500 0.500 0.421
Cd 0.500 0.500 0.579
Cd 0.500 0.500 0.793

Entry 6:
Entry from the Alexandria database: a relaxed structure of Ba2NdCd (PBE).

## Properties
- Energy relative to the lowest polymorph listed for this composition: 0.224 eV per atom
- DOS(E_F): 19.5 states/eV per cell
- M_tot: 0.96 μB per cell
- Formation energy from the elements: 0.22 eV/atom

a b c (Å): 3.912 3.912 39.043
angles (deg): 90.00 90.00 120.00
Sites, in units of the cell vectors:
Ba 0.000 0.000 0.096
Ba 0.000 0.000 0.904
Ba 0.333 0.667 0.571
Ba 0.333 0.667 0.762
Ba 0.667 0.333 0.238
Ba 0.667 0.333 0.429
Nd 0.000 0.000 0.000
Nd 0.333 0.667 0.667
Nd 0.667 0.333 0.333
Cd 0.000 0.000 0.500
Cd 0.333 0.667 0.167
Cd 0.667 0.333 0.833

Entry 7:
Entry from the Alexandria database: a relaxed structure of BaNdCd (PBE).

## Properties
- Energy relative to the lowest polymorph listed for this composition: 0.166 eV per atom
- DOS(E_F): 8.0 states/eV per cell
- M_tot: 0.53 μB per cell
- Formation energy from the elements: 0.03 eV/atom

a b c (Å): 10.560 10.560 10.560
angles (deg): 29.86 29.86 29.86
Sites, in units of the cell vectors:
Ba 0.120 0.120 0.120
Ba 0.880 0.880 0.880
Nd 0.365 0.365 0.365
Nd 0.635 0.635 0.635
Cd 0.262 0.262 0.262
Cd 0.738 0.738 0.738

Entry 8:
Entry from the Alexandria database: a relaxed structure of BaNdCd (PBE).

## Properties
- Energy relative to the lowest polymorph listed for this composition: 0.000 eV per atom
- DOS(E_F): 6.6 states/eV per cell
- M_tot: 0.00 μB per cell
- Formation energy from the elements: -0.13 eV/atom

a b c (Å): 4.037 4.037 14.063
angles (deg): 90.00 90.00 90.00
Sites, in units of the cell vectors:
Ba 0.000 0.000 0.000
Ba 0.500 0.500 0.500
Nd 0.000 0.000 0.280
Nd 0.500 0.500 0.780
Cd 0.000 0.000 0.668
Cd 0.500 0.500 0.168